Crystalline MoOs2Se at its relaxed geometry. Source: the Alexandria database, functional PBE.

abc: 4.5771 4.5771 2.9543
angles: 90.00 90.00 90.00
With the nearest neighbours (Å) after each atom.
Space group P4/mmm (No. 123)
Symmetry-distinct sites (fractional):
Mo 0.0000 0.0000 0.0000 x1  8 Os 2.72, 2 Mo 2.95
Os 0.0000 0.5000 0.5000 x2  4 Se 2.72, 4 Mo 2.72, 2 Os 2.95
Se 0.5000 0.5000 0.0000 x1  8 Os 2.72, 2 Se 2.95



Crystalline Mo2OsSe at its relaxed geometry. Source: the Alexandria database, functional PBE.

abc: 2.8997 4.0781 5.2802
angles: 90.00 90.00 90.00
With the nearest neighbours (Å) after each atom.
Space group Pmmm (No. 47)
Symmetry-distinct sites (fractional):
Mo 0.0000 0.0000 0.2424 x2  2 Mo 2.56-2.72, 4 Os 2.81, 4 Se 2.85
Os 0.5000 0.5000 0.0000 x1  2 Se 2.64, 8 Mo 2.81, 2 Os 2.90
Se 0.5000 0.5000 0.5000 x1  2 Os 2.64, 8 Mo 2.85, 2 Se 2.90



Crystalline MoOs2Se at its relaxed geometry. Source: the Alexandria database, functional PBE.

abc: 2.9068 4.5560 4.5926
angles: 90.00 90.00 90.00
With the nearest neighbours (Å) after each atom.
Space group Pmmm (No. 47)
Symmetry-distinct sites (fractional):
Mo 0.0000 0.0000 0.0000 x1  4 Os 2.70, 4 Se 2.72, 2 Mo 2.91
Os 0.0000 0.5000 0.5000 x1  4 Se 2.70, 6 Os 2.72-2.91
Os 0.5000 0.5000 0.0000 x1  4 Mo 2.70, 6 Os 2.72-2.91
Se 0.5000 0.0000 0.5000 x1  4 Os 2.70, 4 Mo 2.72, 2 Se 2.91



Crystalline MoOs2Se at its relaxed geometry. Source: the Alexandria database, functional PBE.

abc: 2.9290 4.6614 9.3137
angles: 90.00 90.00 90.00
With the nearest neighbours (Å) after each atom.
Space group Cmmm (No. 65)
Symmetry-distinct sites (fractional):
Mo 0.0000 0.0000 0.0000 x2  4 Os 2.64, 6 Mo 2.75-2.93
Os 0.0000 0.5000 0.2363 x4  2 Mo 2.64, 6 Os 2.75-2.93, 2 Se 2.86
Se 0.0000 0.0000 0.5000 x2  6 Se 2.75-2.93, 4 Os 2.86



Crystalline MoOs2Se at its relaxed geometry. Source: the Alexandria database, functional PBE.

abc: 9.7547 2.8697 4.4523
angles: 90.00 92.02 90.00
With the nearest neighbours (Å) after each atom.
Space group C2/m (No. 12)
Symmetry-distinct sites (fractional):
Mo 0.0000 0.0000 0.0000 x2  4 Se 2.65, 6 Os 2.77-2.93, 2 Mo 2.87
Os 0.2224 0.5000 0.2337 x4  1 Se 2.51, 4 Os 2.60-2.81, 2 Mo 2.77
Se 0.0000 0.5000 0.5000 x2  2 Os 2.51, 4 Mo 2.65



Crystalline Mo2OsSe at its relaxed geometry. Source: the Alexandria database, functional PBE.

abc: 3.0558 3.0558 6.7048
angles: 90.00 90.00 90.00
With the nearest neighbours (Å) after each atom.
Space group P4mm (No. 99)
Symmetry-distinct sites (fractional):
Mo 0.0000 0.0000 0.0000 x1  4 Se 2.59, 4 Mo 2.85
Mo 0.5000 0.5000 0.2764 x1  4 Os 2.65, 4 Mo 2.85
Os 0.0000 0.0000 0.5054 x1  4 Mo 2.65, 4 Se 2.87
Se 0.5000 0.5000 0.7866 x1  4 Mo 2.59, 4 Os 2.87



Crystalline Mo2Os2Se at its relaxed geometry. Source: the Alexandria database, functional PBE.

abc: 4.1354 4.1354 10.9772
angles: 90.00 90.00 90.00
With the nearest neighbours (Å) after each atom.
Space group I4/mmm (No. 139)
Symmetry-distinct sites (fractional):
Mo 0.0000 0.5000 0.2500 x4  4 Os 2.52
Os 0.0000 0.0000 0.1190 x4  4 Mo 2.52, 1 Os 2.61
Se 0.0000 0.0000 0.5000 x2  8 Os 3.20, 8 Mo 3.44

Summary:
- ΔE to the lowest computed polymorph (eV per atom) = 0.251



Crystalline MoOsSe2 at its relaxed geometry. Source: the Alexandria database, functional PBE.

abc: 5.2406 6.1609 4.2912
angles: 90.00 90.00 90.00
With the nearest neighbours (Å) after each atom.
Space group Cmmm (No. 65)
Symmetry-distinct sites (fractional):
Mo 0.0000 0.0000 0.0000 x2  2 Os 2.62, 4 Se 2.65
Os 0.0000 0.5000 0.0000 x2  2 Mo 2.62, 4 Se 2.63
Se 0.0000 0.2523 0.5000 x4  2 Se 2.62, 2 Os 2.63, 2 Mo 2.65

Summary:
- ΔE to the lowest computed polymorph (eV per atom) = 0.677



Crystalline MoOsSe2 at its relaxed geometry. Source: the Alexandria database, functional PBE.

abc: 3.0501 5.4056 8.2322
angles: 90.00 90.00 90.00
With the nearest neighbours (Å) after each atom.
Space group Cmmm (No. 65)
Symmetry-distinct sites (fractional):
Mo 0.0000 0.0000 0.0000 x2  4 Se 2.57
Os 0.0000 0.0000 0.5000 x2  4 Se 2.55
Se 0.0000 0.5000 0.2519 x4  2 Os 2.55, 2 Mo 2.57

Summary:
- ΔE to the lowest computed polymorph (eV per atom) = 0.861



Crystalline Mo2OsSe at its relaxed geometry. Source: the Alexandria database, functional PBE.

abc: 2.8970 4.0853 5.4416
angles: 90.00 105.38 90.00
With the nearest neighbours (Å) after each atom.
Space group Pm (No. 6)
Symmetry-distinct sites (fractional):
Mo 0.0000 0.0000 0.0000 x1  1 Se 2.53, 4 Os 2.76
Mo 0.3520 0.5000 0.7050 x1  4 Se 2.69, 3 Os 2.70-2.93, 6 Mo 2.90-2.95
Os 0.6117 0.5000 0.2205 x1  2 Se 2.57, 5 Mo 2.70-2.76
Se 0.7591 0.0000 0.5177 x1  5 Mo 2.53-2.69, 2 Os 2.57



Crystalline MoOsSe2 at its relaxed geometry. Source: the Alexandria database, functional PBE.

abc: 3.1385 3.1385 6.2762
angles: 90.00 90.00 90.00
With the nearest neighbours (Å) after each atom.
Space group P4/mmm (No. 123)
Symmetry-distinct sites (fractional):
Mo 0.0000 0.0000 0.0000 x1  8 Se 2.69
Os 0.0000 0.0000 0.5000 x1  8 Se 2.74
Se 0.5000 0.5000 0.2433 x2  4 Mo 2.69, 4 Os 2.74

Summary:
- ΔE to the lowest computed polymorph (eV per atom) = 0.439



Crystalline MoOs2Se at its relaxed geometry. Source: the Alexandria database, functional PBE.

abc: 2.9746 4.4763 9.0141
angles: 90.00 90.00 90.00
With the nearest neighbours (Å) after each atom.
Space group Imm2 (No. 44)
Symmetry-distinct sites (fractional):
Mo 0.0000 0.0000 0.0000 x2  2 Se 2.56, 4 Os 2.72
Os 0.0000 0.0000 0.5479 x2  2 Se 2.49, 4 Mo 2.72
Os 0.0000 0.5000 0.7756 x2  4 Se 2.69, 4 Os 2.87-2.97, 2 Mo 2.90
Se 0.0000 0.5000 0.2692 x2  6 Os 2.49-2.69, 2 Mo 2.56



Number 1: formation energy without anion corrections 0.7450 eV per atom. Number 2: formation energy without anion corrections 0.3229 eV per atom. Number 3: formation energy without anion corrections 0.5161 eV per atom. Number 4: formation energy without anion corrections 0.6957 eV per atom. Number 5: formation energy without anion corrections 0.3830 eV per atom. Number 6: formation energy without anion corrections 0.2223 eV per atom. Number 7: formation energy without anion corrections 0.6117 eV per atom. Number 8: formation energy without anion corrections 0.6897 eV per atom. Number 9: formation energy without anion corrections 0.8740 eV per atom. Number 10: formation energy without anion corrections 0.2655 eV per atom. Number 11: formation energy without anion corrections 0.4521 eV per atom. Number 12: formation energy without anion corrections 0.4627 eV per atom.